Entry 1:
Here is LaPm2Th3Sb6 after structural relaxation from Alexandria. Energies are from GGA-PBE.

Lattice parameters (Å, degrees): 7.8319 7.8319 7.8215 99.61 99.61 119.91
Positions (direct):
La1 0.0000 0.0000 0.0000
Pm1 0.3330 0.6670 0.0000
Pm2 0.6670 0.3330 0.0000
Th1 0.1650 0.8350 0.5000
Th2 0.5000 0.5000 0.5000
Th3 0.8350 0.1650 0.5000
Sb1 0.0842 0.4209 0.2523
Sb2 0.2537 0.2537 0.7500
Sb3 0.4209 0.0842 0.2523
Sb4 0.5791 0.9158 0.7477
Sb5 0.7463 0.7463 0.2500
Sb6 0.9158 0.5791 0.7477

Symmetry   C2/m, No. 12
VASP energy   -74.3 eV per formula unit

---

Entry 2:
Here is Ti2FeCo2 after structural relaxation from Alexandria. Energies are from GGA-PBE.

Lattice parameters (Å, degrees): 6.0786 6.0786 3.5251 90.00 90.00 90.00
Positions (direct):
Ti1 0.1794 0.3206 0.0000
Ti2 0.3206 0.8206 0.0000
Ti3 0.6794 0.1794 0.0000
Ti4 0.8206 0.6794 0.0000
Fe1 0.0000 0.0000 0.5000
Fe2 0.5000 0.5000 0.5000
Co1 0.1300 0.6300 0.5000
Co2 0.3700 0.1300 0.5000
Co3 0.6300 0.8700 0.5000
Co4 0.8700 0.3700 0.5000

DFT formation energy   -0.1065 eV/atom
Symmetry   P4/mbm, No. 127
VASP energy   -39.0 eV per formula unit

---

Entry 3:
Here is TcNi4Ir after structural relaxation from Alexandria. Energies are from GGA-PBE.

Lattice parameters (Å, degrees): 6.3824 6.3824 6.6897 90.00 90.00 143.25
Positions (direct):
Tc1 0.1403 0.8597 0.7500
Tc2 0.8597 0.1403 0.2500
Ni1 0.0479 0.9521 0.2500
Ni2 0.2573 0.7427 0.0826
Ni3 0.2573 0.7427 0.4174
Ni4 0.5000 0.5000 0.0000
Ni5 0.5000 0.5000 0.5000
Ni6 0.7427 0.2573 0.5826
Ni7 0.7427 0.2573 0.9174
Ni8 0.9521 0.0479 0.7500
Ir1 0.3466 0.6534 0.7500
Ir2 0.6534 0.3466 0.2500

DFT formation energy   0.4677 eV/atom
Symmetry   Cmcm, No. 63
VASP energy   -39.5 eV per formula unit

---

Entry 4:
Here is CrHgIN2 after structural relaxation from Alexandria. Energies are from GGA-PBE.

Lattice parameters (Å, degrees): 3.8933 3.8933 5.7067 90.00 90.00 90.00
Positions (direct):
Cr1 0.0000 0.0000 0.0000
Hg1 0.5000 0.5000 0.5000
I1 0.0000 0.0000 0.5000
N1 0.0000 0.5000 0.0000
N2 0.5000 0.0000 0.0000

Symmetry   P4/mmm, No. 123
VASP energy   -23.8 eV per formula unit

---

Entry 5:
Here is CoOsC3 after structural relaxation from Alexandria. Energies are from GGA-PBE.

Lattice parameters (Å, degrees): 3.6672 3.6672 3.6672 90.00 90.00 90.00
Positions (direct):
Co1 0.0000 0.0000 0.0000
Os1 0.5000 0.5000 0.5000
C1 0.0000 0.0000 0.5000
C2 0.0000 0.5000 0.0000
C3 0.5000 0.0000 0.0000

DFT formation energy   2.4335 eV/atom
Symmetry   Pm-3m, No. 221
VASP energy   -33.8 eV per formula unit

---

Entry 6:
Here is Tl7Bi2Au2 after structural relaxation from Alexandria. Energies are from GGA-PBE.

Lattice parameters (Å, degrees): 9.9225 9.9225 9.9225 158.97 81.09 102.79
Positions (direct):
Tl1 0.0000 0.0000 0.0000
Tl2 0.0122 0.6929 0.3192
Tl3 0.3380 0.4756 0.8625
Tl4 0.3737 0.6929 0.6808
Tl5 0.6131 0.4756 0.1375
Tl6 0.6622 0.3136 0.3486
Tl7 0.9650 0.3136 0.6514
Bi1 0.2613 0.2613 0.0000
Bi2 0.6291 0.1291 0.5000
Au1 0.1976 0.9984 0.1992
Au2 0.7992 0.9984 0.8008

DFT formation energy   0.0157 eV/atom
Symmetry   Imm2, No. 44
VASP energy   -30.7 eV per formula unit

---

Entry 7:
Here is YOsW4 after structural relaxation from Alexandria. Energies are from GGA-PBE.

Lattice parameters (Å, degrees): 5.3505 5.3505 5.3505 60.00 60.00 60.00
Positions (direct):
Y1 0.0000 0.0000 0.0000
Os1 0.7500 0.7500 0.7500
W1 0.3743 0.3743 0.3743
W2 0.3743 0.3743 0.8772
W3 0.3743 0.8772 0.3743
W4 0.8772 0.3743 0.3743

DFT formation energy   0.4120 eV/atom
Symmetry   F-43m, No. 216
VASP energy   -67.0 eV per formula unit

---

Entry 8:
Here is ScTa2Mo after structural relaxation from Alexandria. Energies are from GGA-PBE.

Lattice parameters (Å, degrees): 3.2656 3.2656 7.0510 90.00 90.00 90.00
Positions (direct):
Sc1 0.0000 0.0000 0.0000
Ta1 0.5000 0.5000 0.2857
Ta2 0.5000 0.5000 0.7143
Mo1 0.0000 0.0000 0.5000

DFT formation energy   0.0732 eV/atom
Symmetry   P4/mmm, No. 123
VASP energy   -40.6 eV per formula unit